Record 1
Material: CsRb2MgPb
Method: DFT, PBE
State: optimized geometry

Values from the calculation:
distance to the lowest polymorph of the same formula	0	meV/atom
symmetry	P4/mmm
density of states at the Fermi level	3.04	states/eV per cell
volume	62.6	Å³ per atom
E_tot	-7.82	eV/cell

abc: 7.425 7.425 5.674
angles: 90.00 90.00 90.00
Atoms (fractional coordinates):
1 Cs 0.000 0.000 0.000
2 Rb 0.000 0.500 0.500
3 Rb 0.500 0.000 0.500
4 Mg 0.500 0.500 0.000
5 Pb 0.500 0.500 0.500

Record 2
Material: Si2HgN
Method: DFT, PBE
State: optimized geometry

Values from the calculation:
distance to the lowest polymorph of the same formula	0	meV/atom
formation energy from raw total energies	326	meV per atom
symmetry	I-42d
density of states at the Fermi level	2.26	states/eV per cell
volume	16.3	Å³ per atom
E_tot	-36.34	eV/cell

abc: 6.327 6.327 6.327
angles: 133.72 133.72 67.53
Atoms (fractional coordinates):
1 Si 0.003 0.625 0.878
2 Si 0.375 0.253 0.378
3 Si 0.747 0.125 0.122
4 Si 0.875 0.997 0.622
5 Hg 0.250 0.750 0.500
6 Hg 0.500 0.500 0.000
7 N 0.000 0.000 0.000
8 N 0.750 0.250 0.500

Record 3
Material: Sb2Pb4Br
Method: DFT, PBE
State: optimized geometry

Values from the calculation:
formation energy from raw total energies	-137	meV per atom
symmetry	I-42d
density of states at the Fermi level	5.29	states/eV per cell
volume	32.8	Å³ per atom
E_tot	-51.42	eV/cell

abc: 8.422 8.422 8.422
angles: 109.75 109.75 108.91
Atoms (fractional coordinates):
1 Sb 0.375 0.007 0.132
2 Sb 0.757 0.625 0.632
3 Sb 0.875 0.243 0.868
4 Sb 0.993 0.125 0.368
5 Pb 0.102 0.522 0.746
6 Pb 0.106 0.027 0.754
7 Pb 0.272 0.352 0.246
8 Pb 0.478 0.223 0.579
9 Pb 0.644 0.898 0.421
10 Pb 0.648 0.894 0.921
11 Pb 0.777 0.356 0.254
12 Pb 0.973 0.728 0.079
13 Br 0.250 0.750 0.500
14 Br 0.500 0.500 0.000

Record 4
Material: CaTlZn
Method: DFT, PBE
State: optimized geometry

Values from the calculation:
symmetry	P3m1
density of states at the Fermi level	1.31	states/eV per cell
volume	28.0	Å³ per atom
E_tot	-5.92	eV/cell

abc: 3.936 3.936 6.260
angles: 90.00 90.00 120.00
Atoms (fractional coordinates):
1 Ca 0.000 0.000 0.000
2 Tl 0.667 0.333 0.390
3 Zn 0.333 0.667 0.673

Record 5
Material: Nd5Y
Method: DFT, PBE
State: optimized geometry

Values from the calculation:
symmetry	C2/m
density of states at the Fermi level	9.25	states/eV per cell
volume	34.8	Å³ per atom
E_tot	-30.23	eV/cell

abc: 9.702 9.702 6.331
angles: 108.91 108.91 21.79
Atoms (fractional coordinates):
1 Nd 0.000 0.000 0.000
2 Nd 0.166 0.166 0.497
3 Nd 0.334 0.334 0.001
4 Nd 0.666 0.666 0.999
5 Nd 0.834 0.834 0.503
6 Y 0.500 0.500 0.500

Record 6
Material: Ho4Tm4In
Method: DFT, PBE
State: optimized geometry

Values from the calculation:
symmetry	I4/mmm
density of states at the Fermi level	13.78	states/eV per cell
volume	29.5	Å³ per atom
E_tot	-39.59	eV/cell

abc: 7.786 7.786 7.786
angles: 95.57 95.57 143.68
Atoms (fractional coordinates):
1 Ho 0.162 0.162 0.325
2 Ho 0.162 0.838 0.000
3 Ho 0.838 0.162 0.000
4 Ho 0.838 0.838 0.675
5 Tm 0.165 0.500 0.665
6 Tm 0.500 0.165 0.665
7 Tm 0.500 0.835 0.335
8 Tm 0.835 0.500 0.335
9 In 0.500 0.500 0.000